Computed, not measured: an optimized crystal structure of Li2MnSi3O8 at the GGA+U level of DFT.

Cell lengths 5.271, 9.807, 7.046 Å; angles 90.00, 91.13, 90.00 degrees
Positions (direct):
Li 0.059 0.000 0.249
Li 0.388 0.245 0.287
Li 0.612 0.745 0.713
Li 0.941 0.500 0.751
Mn 0.102 0.910 0.732
Mn 0.898 0.410 0.268
Si 0.025 0.183 0.966
Si 0.398 0.503 0.471
Si 0.484 0.773 0.268
Si 0.516 0.273 0.732
Si 0.602 0.003 0.529
Si 0.975 0.683 0.034
O 0.034 0.020 0.968
O 0.055 0.226 0.189
O 0.099 0.485 0.503
O 0.245 0.742 0.127
O 0.247 0.254 0.835
O 0.449 0.935 0.336
O 0.480 0.670 0.461
O 0.490 0.924 0.710
O 0.510 0.424 0.290
O 0.520 0.170 0.539
O 0.551 0.435 0.664
O 0.753 0.754 0.165
O 0.755 0.242 0.873
O 0.901 0.985 0.497
O 0.945 0.726 0.811
O 0.966 0.520 0.032

* total magnetization: 5.00 μB/f.u.
* offset from the most stable computed form: 0.00 kcal/mol of atoms
* V: 182.1 Å³/f.u.